No. 1
! ReBiW2 (PBE, relaxed); values from VASP
! Formation energy, meV/atom: 1367
! Space-group type: I-42d
! Total magnetization, μB/atom: 0.000
&SYSTEM
  ibrav = 0, nat = 8, ntyp = 3
/
ATOMIC_SPECIES
Bi 208.98 Bi.upf
W 183.84 W.upf
Re 186.21 Re.upf
ATOMIC_POSITIONS angstrom
Bi 0.000 0.000 0.000
Bi -1.245 -2.429 6.012
W -0.697 -5.314 8.496
W 0.359 -3.172 2.595
W -1.314 -1.321 3.365
W 0.917 -3.476 7.583
Re 0.878 -4.212 5.008
Re -1.543 -2.345 0.901
CELL_PARAMETERS angstrom
-3.665 -0.562 1.904
0.580 -4.127 -0.102
2.719 -1.952 9.218



No. 2
! SrSn4Rh4 (PBE, relaxed); values from VASP
! Formation energy, meV/atom: -392
! Space-group type: P4_2/n
! Total magnetization, μB/atom: 0.000
&SYSTEM
  ibrav = 0, nat = 18, ntyp = 3
/
ATOMIC_SPECIES
Rh 102.91 Rh.upf
Sn 118.71 Sn.upf
Sr 87.62 Sr.upf
ATOMIC_POSITIONS angstrom
Rh 2.228 5.872 7.381
Rh 4.873 2.925 7.497
Rh 2.228 3.041 1.531
Rh 3.060 1.531 5.872
Rh 4.873 5.988 1.416
Rh 3.060 7.381 3.041
Rh 0.416 1.416 2.925
Rh 0.416 7.497 5.988
Sn 0.413 7.639 3.332
Sn 4.876 3.332 1.274
Sn 2.232 3.182 7.789
Sn 4.876 5.581 7.639
Sn 3.057 1.124 3.182
Sn 2.232 5.731 1.124
Sn 3.057 7.789 5.731
Sn 0.413 1.274 5.581
Sr 0.000 0.000 0.000
Sr 2.644 4.456 4.456
CELL_PARAMETERS angstrom
5.288 0.000 0.000
0.000 8.913 0.000
0.000 0.000 8.913



No. 3
! Ho4Te2PtS (PBE, relaxed); values from VASP
! Space-group type: P2/m
! ΔE_f (raw), eV/atom: -1.450
! Total magnetization, μB/atom: 0.000
&SYSTEM
  ibrav = 0, nat = 8, ntyp = 4
/
ATOMIC_SPECIES
Te 127.60 Te.upf
Pt 195.08 Pt.upf
S 32.06 S.upf
Ho 164.93 Ho.upf
ATOMIC_POSITIONS angstrom
Te 0.679 -3.978 -1.468
Te -3.022 -2.962 0.189
Pt 0.461 -0.667 -4.100
S 0.000 0.000 0.000
Ho 2.441 -2.528 -3.597
Ho -0.650 -6.039 -3.394
Ho -1.231 -1.568 -1.986
Ho -1.083 -5.428 0.661
CELL_PARAMETERS angstrom
-3.239 0.349 -2.444
4.162 -1.683 -5.757
-2.804 -6.273 2.821



No. 4
! ZnCrTe2 (PBE, relaxed); values from VASP
! Space-group type: P4/mmm
! ΔE_f (raw), eV/atom: 0.272
! Total magnetization, μB/atom: 0.000
&SYSTEM
  ibrav = 0, nat = 4, ntyp = 3
/
ATOMIC_SPECIES
Te 127.60 Te.upf
Cr 52.00 Cr.upf
Zn 65.41 Zn.upf
ATOMIC_POSITIONS angstrom
Te 3.490 0.220 3.678
Te 5.728 0.360 6.036
Cr 4.014 -1.773 5.545
Zn 0.942 -1.967 2.307
CELL_PARAMETERS angstrom
-2.120 -1.159 2.081
0.930 -2.967 -0.706
6.146 0.387 6.476